# BaCdAu2 | Alexandria | PBE | relaxed
data_BaCdAu2
_cell_length_a 8.265
_cell_length_b 4.724
_cell_length_c 11.399
_cell_angle_alpha 90.00
_cell_angle_beta 90.00
_cell_angle_gamma 90.00
_space_group_name_H-M_alt 'P 1'
_space_group_IT_number 1
loop_
_space_group_symop_operation_xyz
'x,y,z'
loop_
_atom_site_label
_atom_site_type_symbol
_atom_site_fract_x
_atom_site_fract_y
_atom_site_fract_z
_atom_site_occupancy
Ba1 Ba 0.160 0.250 0.140 1
Ba2 Ba 0.340 0.750 0.640 1
Ba3 Ba 0.660 0.250 0.360 1
Ba4 Ba 0.840 0.750 0.860 1
Cd1 Cd 0.023 0.750 0.396 1
Cd2 Cd 0.477 0.250 0.896 1
Cd3 Cd 0.523 0.750 0.104 1
Cd4 Cd 0.977 0.250 0.604 1
Au1 Au 0.140 0.250 0.822 1
Au2 Au 0.233 0.250 0.434 1
Au3 Au 0.267 0.750 0.934 1
Au4 Au 0.360 0.750 0.322 1
Au5 Au 0.640 0.250 0.678 1
Au6 Au 0.733 0.250 0.066 1
Au7 Au 0.767 0.750 0.566 1
Au8 Au 0.860 0.750 0.178 1
# DOS at the Fermi energy = 0.49 states/eV per atom
# Formation energy = -0.588 eV per atom
# Total magnetic moment = 0.000 Bohr magnetons per cell
# Symmetry = No. 62

***

# Ba2Cd5Au4 | Alexandria | PBE | relaxed
data_Ba2Cd5Au4
_cell_length_a 7.672
_cell_length_b 7.672
_cell_length_c 8.877
_cell_angle_alpha 122.69
_cell_angle_beta 122.69
_cell_angle_gamma 46.38
_space_group_name_H-M_alt 'P 1'
_space_group_IT_number 1
loop_
_space_group_symop_operation_xyz
'x,y,z'
loop_
_atom_site_label
_atom_site_type_symbol
_atom_site_fract_x
_atom_site_fract_y
_atom_site_fract_z
_atom_site_occupancy
Ba1 Ba 0.222 0.222 0.278 1
Ba2 Ba 0.778 0.778 0.722 1
Cd1 Cd 0.207 0.705 0.248 1
Cd2 Cd 0.295 0.793 0.752 1
Cd3 Cd 0.500 0.500 0.000 1
Cd4 Cd 0.705 0.207 0.248 1
Cd5 Cd 0.793 0.295 0.752 1
Au1 Au 0.130 0.130 0.553 1
Au2 Au 0.274 0.274 0.937 1
Au3 Au 0.726 0.726 0.063 1
Au4 Au 0.870 0.870 0.447 1
# DOS at the Fermi energy = 0.44 states/eV per atom
# Formation energy = -0.382 eV per atom
# Total magnetic moment = 0.000 Bohr magnetons per cell
# Symmetry = No. 12